[1]
The following is a DFT calculation (GGA-PBE) of a geometry-optimized SrY4Cr structure.

POSCAR file:
```
SrY4Cr
1.0
0.000 4.693 4.693
4.693 0.000 4.693
4.693 4.693 0.000
Sr Y Cr
1 4 1
direct
0.000 0.000 0.000 Sr
0.872 0.376 0.376 Y
0.376 0.376 0.872 Y
0.376 0.872 0.376 Y
0.376 0.376 0.376 Y
0.750 0.750 0.750 Cr
```

## Properties
ΔH_f (0 K), eV per atom: 0.5968
Calculated density, g cm⁻³: 3.979

[2]
The following is a DFT calculation (GGA-PBE) of a geometry-optimized SrMgTaW2 structure.

POSCAR file:
```
SrMgTaW2
1.0
4.868 0.000 0.000
0.000 5.450 0.000
0.000 0.000 4.868
Sr Mg W Ta
1 1 2 1
direct
0.500 0.500 0.500 Sr
0.000 0.500 0.000 Mg
0.000 0.000 0.500 W
0.500 0.000 0.000 W
0.000 0.000 0.000 Ta
```

## Properties
ΔH_f (0 K), eV per atom: 1.3942
Calculated density, g cm⁻³: 8.492

[3]
The following is a DFT calculation (GGA-PBE) of a geometry-optimized TiNi2Se structure.

POSCAR file:
```
TiNi2Se
1.0
-3.251 1.062 -1.248
-1.342 -0.135 3.381
-0.051 8.778 2.291
Ni Se Ti
4 2 2
direct
0.628 0.125 0.250 Ni
0.122 0.625 0.250 Ni
0.375 0.372 0.750 Ni
0.875 0.878 0.750 Ni
0.000 0.000 0.000 Se
0.750 0.250 0.500 Se
0.500 0.500 0.000 Ti
0.250 0.750 0.500 Ti
```

## Properties
Raw formation energy, meV/atom: -182
Calculated density, g cm⁻³: 7.035